Entry from Alexandria via LeMat-Bulk: an optimized crystal structure of HfTePb2 (PBE).

```
HfTePb2
1.0
-1.389 4.676 4.504
-5.308 -3.470 1.966
0.830 -2.960 8.224
Pb Te Hf
4 2 2
Cartesian
-1.364 1.882 5.245 Pb
-3.244 -2.458 3.719 Pb
-1.738 -1.669 8.538 Pb
-5.389 -1.264 11.885 Pb
-3.348 0.603 3.235 Te
-3.913 -2.914 6.713 Te
0.000 0.000 0.000 Hf
-1.954 1.159 7.981 Hf
```

space group	I-42d (122)
Fermi-level density of states	2.5	states/eV per cell
formation energy from raw total energies	637	meV per atom

Entry from Alexandria via LeMat-Bulk: an optimized crystal structure of AuS2Br2 (PBE).

```
AuS2Br2
1.0
8.178 0.739 0.813
-1.587 6.038 -3.584
3.349 -1.077 7.877
Au S Br
2 4 4
Cartesian
7.384 5.651 -0.765 Au
2.556 0.048 5.870 Au
6.528 -0.637 7.697 S
1.768 0.865 1.121 S
8.173 4.835 3.984 S
3.413 6.337 -2.592 S
6.185 3.526 0.238 Br
3.755 2.174 4.867 Br
7.693 1.132 4.269 Br
2.248 4.568 0.836 Br
```

space group	P-1 (2)
formation energy from raw total energies	-84	meV per atom

Entry from Alexandria via LeMat-Bulk: an optimized crystal structure of Mg3H2Ir3 (PBE).

```
Mg3H2Ir3
1.0
2.934 0.000 0.620
-0.029 4.703 0.151
0.003 0.003 7.220
Mg H Ir
3 2 3
Cartesian
2.226 3.231 6.483 Mg
0.227 3.898 1.451 Mg
2.681 1.156 4.323 Mg
0.955 4.599 5.231 H
1.472 0.181 2.784 H
1.721 1.642 1.626 Ir
1.238 3.421 3.908 Ir
0.690 0.917 6.479 Ir
```

polymorph energy (0 for the lowest one)	28	meV per atom
space group	Cm (8)
Fermi-level density of states	2.9	states/eV per cell

Number 1: M_tot 0.0 μB per formula unit. Number 2: M_tot 0.0 μB per formula unit. Number 3: M_tot 0.0 μB per formula unit.